VASP calculation (GGA-PBE) on Ho6TlIn6 after structural relaxation.

Lattice parameters (Å, degrees): 6.3334 6.3334 10.4818 90.00 90.00 120.00
Last column: nearest neighbours and their distance in Å.
Positions (direct):
Ho1 0.0000 0.0000 0.1787  6 In 3.25, 1 Tl 3.37
Ho2 0.0000 0.0000 0.8213  6 In 3.25, 1 Tl 3.37
Ho3 0.3333 0.6667 0.0000  6 In 3.20
Ho4 0.3333 0.6667 0.5000  6 In 3.19
Ho5 0.6667 0.3333 0.0000  6 In 3.20
Ho6 0.6667 0.3333 0.5000  6 In 3.19
Tl1 0.0000 0.0000 0.5000  8 Ho 3.37-3.66
In1 0.0000 0.5000 0.2501  4 In 3.17, 6 Ho 3.19-3.25
In2 0.0000 0.5000 0.7499  4 In 3.17, 6 Ho 3.19-3.25
In3 0.5000 0.0000 0.2501  4 In 3.17, 6 Ho 3.19-3.25
In4 0.5000 0.0000 0.7499  4 In 3.17, 6 Ho 3.19-3.25
In5 0.5000 0.5000 0.2501  4 In 3.17, 6 Ho 3.19-3.25
In6 0.5000 0.5000 0.7499  4 In 3.17, 6 Ho 3.19-3.25

Output
space group = P6/mmm
M_tot = 0.0000 μB per atom

VASP calculation (GGA-PBE) on Ho2TlIn4 after structural relaxation.

Lattice parameters (Å, degrees): 6.3856 6.3856 6.5228 119.04 119.04 90.28
Last column: nearest neighbours and their distance in Å.
Positions (direct):
Ho1 0.0000 0.5000 0.0000  2 Tl 3.19, 8 In 3.26-3.27
Ho2 0.5000 0.0000 0.0000  2 Tl 3.19, 8 In 3.26-3.27
Tl1 0.0000 0.0000 0.0000  4 Ho 3.19, 8 In 3.26-3.27
In1 0.0000 0.0000 0.5000  4 In 3.19, 2 Tl 3.26, 4 Ho 3.27
In2 0.0000 0.5000 0.5000  4 In 3.19, 4 Ho 3.26-3.27, 2 Tl 3.27
In3 0.5000 0.0000 0.5000  4 In 3.19, 4 Ho 3.26-3.27, 2 Tl 3.27
In4 0.5000 0.5000 0.5000  4 In 3.19, 2 Tl 3.27, 4 Ho 3.27

Output
space group = C2/m
M_tot = 0.0000 μB per atom

VASP calculation (GGA-PBE) on Ho7TlIn5 after structural relaxation.

Lattice parameters (Å, degrees): 8.1902 8.1902 8.1902 132.91 100.44 97.92
Last column: nearest neighbours and their distance in Å.
Positions (direct):
Ho1 0.0000 0.0000 0.0000  4 In 3.28, 4 Ho 3.58-3.60
Ho2 0.3020 0.6266 0.6754  5 In 3.21-3.28, 1 Ho 3.41, 1 Tl 3.41
Ho3 0.3431 0.3431 0.0000  6 In 3.21-3.29, 1 Tl 3.34
Ho4 0.4363 0.1161 0.3202  5 In 3.16-3.31, 1 Ho 3.23
Ho5 0.7959 0.1161 0.6798  5 In 3.16-3.31, 1 Ho 3.23
Ho6 0.8599 0.3599 0.5000  4 In 3.06, 4 Ho 3.23-3.41
Ho7 0.9512 0.6266 0.3246  5 In 3.21-3.28, 1 Ho 3.41, 1 Tl 3.41
Tl1 0.6540 0.6540 0.0000  4 Ho 3.34-3.72
In1 0.1158 0.1145 0.4830  7 Ho 3.06-3.31, 3 In 3.13-3.39
In2 0.1158 0.6327 0.0013  7 Ho 3.06-3.31, 3 In 3.13-3.39
In3 0.3723 0.8723 0.5000  4 In 3.13, 6 Ho 3.22-3.29
In4 0.6315 0.1145 0.9987  7 Ho 3.06-3.31, 3 In 3.13-3.39
In5 0.6315 0.6327 0.5170  7 Ho 3.06-3.31, 3 In 3.13-3.39

Output
space group = Imm2
M_tot = 0.0000 μB per atom

VASP calculation (GGA-PBE) on HoTlIn after structural relaxation.

Lattice parameters (Å, degrees): 5.1414 5.1414 6.9053 90.00 90.00 120.16
Last column: nearest neighbours and their distance in Å.
Positions (direct):
Ho1 0.0000 0.0000 0.0000  6 Tl 3.43-3.44, 6 In 3.43-3.44, 2 Ho 3.45
Ho2 0.0000 0.0000 0.5000  6 Tl 3.43-3.44, 6 In 3.43-3.44, 2 Ho 3.45
Tl1 0.3335 0.6665 0.7500  3 In 2.96-2.97
Tl2 0.6665 0.3335 0.2500  3 In 2.96-2.97
In1 0.3334 0.6666 0.2500  3 Tl 2.96-2.97
In2 0.6666 0.3334 0.7500  3 Tl 2.96-2.97

Output
distance to the lowest polymorph of the same formula = 34 meV/atom
space group = Cmcm
M_tot = 0.0000 μB per atom

Summary of ΔE_f in meV per atom
-289; -239; -232; -229
(order as listed above)